Record 1
Compound: NaAsSe4
Source: Alexandria
Functional: PBE-GGA
Structure: relaxed

magnetization: 0.00 μB per formula unit
total DFT energy (no corrections): -3.56 eV/atom
ΔE_f (raw): -0.239 eV/atom
symmetry: No. 13

Lattice parameters (Å, degrees): 4.0562 8.6807 10.9857 119.17 90.00 90.00
Closest atoms and distances in Å follow each position.
Element x y z (fractional)
Na1 0.2360 0.2500 0.7500  6 Se 2.96-3.17
Na2 0.7640 0.7500 0.2500  6 Se 2.96-3.17
As1 0.0000 0.5000 0.5000  6 Se 2.67-2.83
As2 0.0000 0.0000 0.0000  6 Se 2.67-2.83
Se1 0.4768 0.7192 0.5056  1 Se 2.46, 1 As 2.69
Se2 0.4768 0.7808 0.9944  1 Se 2.46, 1 As 2.69
Se3 0.2413 0.9888 0.2221  1 Se 2.46, 1 As 2.67
Se4 0.2413 0.5112 0.2779  1 Se 2.46, 1 As 2.67
Se5 0.7587 0.0112 0.7779  1 Se 2.46, 1 As 2.67
Se6 0.7587 0.4888 0.7221  1 Se 2.46, 1 As 2.67
Se7 0.5232 0.2192 0.0056  1 Se 2.46, 1 As 2.69
Se8 0.5232 0.2808 0.4944  1 Se 2.46, 1 As 2.69



Record 2
Compound: SrAc3Sm2Se6
Source: Alexandria
Functional: PBE-GGA
Structure: relaxed

magnetization: 0.00 μB per formula unit
total DFT energy (no corrections): -5.55 eV/atom
ΔE_f (raw): -1.858 eV/atom
symmetry: No. 12
N(E_F): 6.41 states/eV/cell

Lattice parameters (Å, degrees): 7.5210 7.5210 7.5956 99.45 99.45 120.05
Closest atoms and distances in Å follow each position.
Element x y z (fractional)
Sr1 0.0000 0.0000 0.0000  6 Se 3.04-3.06
Ac1 0.1640 0.8360 0.5000  6 Se 3.13-3.16
Ac2 0.8360 0.1640 0.5000  6 Se 3.13-3.16
Ac3 0.5000 0.5000 0.5000  6 Se 3.13-3.16
Sm1 0.3326 0.6674 0.0000  6 Se 2.99-3.00
Sm2 0.6674 0.3326 0.0000  6 Se 2.99-3.00
Se1 0.9215 0.5825 0.7645  2 Sm 3.00, 1 Sr 3.06, 3 Ac 3.13-3.16
Se2 0.7375 0.7375 0.2303  2 Sm 2.99, 1 Sr 3.04, 3 Ac 3.13-3.16
Se3 0.0785 0.4175 0.2355  2 Sm 3.00, 1 Sr 3.06, 3 Ac 3.13-3.16
Se4 0.5825 0.9215 0.7645  2 Sm 3.00, 1 Sr 3.06, 3 Ac 3.13-3.16
Se5 0.2625 0.2625 0.7697  2 Sm 2.99, 1 Sr 3.04, 3 Ac 3.13-3.16
Se6 0.4175 0.0785 0.2355  2 Sm 3.00, 1 Sr 3.06, 3 Ac 3.13-3.16



Record 3
Compound: AcSm2P3
Source: Alexandria
Functional: PBE-GGA
Structure: relaxed

magnetization: 0.00 μB per formula unit
total DFT energy (no corrections): -6.46 eV/atom
symmetry: No. 71
energy relative to the elements: -144 kJ/mol of atoms
N(E_F): 0.46 states/eV/cell

Lattice parameters (Å, degrees): 4.2188 5.9936 7.3247 114.15 106.74 90.00
Closest atoms and distances in Å follow each position.
Element x y z (fractional)
Ac1 0.0000 0.5000 0.0000  6 P 3.00-3.07
Sm1 0.6664 0.1664 0.3328  6 P 2.90-3.00
Sm2 0.3336 0.8336 0.6672  6 P 2.90-3.00
P1 0.3238 0.3238 0.6476  4 Sm 2.90-3.00, 2 Ac 3.07
P2 0.0000 0.0000 0.0000  4 Sm 2.98, 2 Ac 3.00
P3 0.6762 0.6762 0.3524  4 Sm 2.90-3.00, 2 Ac 3.07